[1]
Material: HfCuSiHg
Method: DFT, PBE
State: optimized geometry

**Energy relative to the lowest polymorph listed for this composition**: 184.9 meV/atom
**Total energy**: -4.517 eV per atom

Lattice parameters (Å, degrees): 6.5944 6.5944 6.5944 90.00 90.00 90.00
Space group F-43m (No. 216)
Symmetry-distinct sites (fractional):
Hf 0.0000 0.0000 0.0000 x4
Cu 0.2500 0.2500 0.7500 x4
Si 0.0000 0.0000 0.5000 x4
Hg 0.2500 0.2500 0.2500 x4

***

[2]
Material: HfCuSiHg
Method: DFT, PBE
State: optimized geometry

**Energy relative to the lowest polymorph listed for this composition**: 0.0 meV/atom
**Total energy**: -4.702 eV per atom

Lattice parameters (Å, degrees): 6.5485 6.5485 6.5485 90.00 90.00 90.00
Space group F-43m (No. 216)
Symmetry-distinct sites (fractional):
Hf 0.0000 0.0000 0.0000 x4
Cu 0.0000 0.0000 0.5000 x4
Si 0.2500 0.2500 0.2500 x4
Hg 0.2500 0.2500 0.7500 x4

***

[3]
Material: HfCuSnHg
Method: DFT, PBE
State: optimized geometry

**Energy relative to the lowest polymorph listed for this composition**: 66.5 meV/atom
**Total energy**: -4.264 eV per atom

Lattice parameters (Å, degrees): 6.8574 6.8574 6.8574 90.00 90.00 90.00
Space group F-43m (No. 216)
Symmetry-distinct sites (fractional):
Hf 0.0000 0.0000 0.0000 x4
Cu 0.2500 0.2500 0.7500 x4
Sn 0.0000 0.0000 0.5000 x4
Hg 0.2500 0.2500 0.2500 x4